# 1
Computed, not measured: SrTa2Sb after structural relaxation at the PBE level of DFT.

Unit cell a=3.565 b=3.565 c=7.829 alpha=90.00 beta=90.00 gamma=90.00
Positions (direct):
Sr: 0.000 0.000 0.000
Ta: 0.000 0.000 0.477
Ta: 0.500 0.500 0.320
Sb: 0.500 0.500 0.691

Calculated values
ΔE_f (raw): 0.124 eV/atom
calculated total energy: -7.25 eV per atom
crystal system: tetragonal
M_tot: 0.7 μB/f.u.

# 2
Computed, not measured: SrTaSb2 after structural relaxation at the PBE level of DFT.

Unit cell a=5.498 b=5.498 c=3.510 alpha=98.93 beta=98.93 gamma=97.93
Positions (direct):
Sr: 0.000 0.000 0.000
Ta: 0.500 0.500 0.000
Sb: 0.000 0.500 0.500
Sb: 0.500 0.000 0.500

Calculated values
excess energy over the best structure of this formula in the dataset: 1.791 eV/f.u.
ΔE_f (raw): 0.142 eV/atom
calculated total energy: -5.30 eV per atom
crystal system: monoclinic
M_tot: 0.0 μB/f.u.

# 3
Computed, not measured: SrTaSb2 after structural relaxation at the PBE level of DFT.

Unit cell a=5.586 b=5.586 c=5.586 alpha=134.65 beta=116.12 gamma=81.78
Positions (direct):
Sr: 0.000 0.000 0.000
Ta: 0.500 0.500 0.000
Sb: 0.278 0.778 0.500
Sb: 0.722 0.222 0.500

Calculated values
excess energy over the best structure of this formula in the dataset: 1.272 eV/f.u.
ΔE_f (raw): 0.012 eV/atom
calculated total energy: -5.43 eV per atom
crystal system: orthorhombic
M_tot: 0.0 μB/f.u.

# 4
Computed, not measured: SrTaSb3 after structural relaxation at the PBE level of DFT.

Unit cell a=5.437 b=5.437 c=5.437 alpha=90.00 beta=90.00 gamma=90.00
Positions (direct):
Sr: 0.000 0.000 0.000
Ta: 0.500 0.500 0.500
Sb: 0.000 0.500 0.500
Sb: 0.500 0.000 0.500
Sb: 0.500 0.500 0.000

Calculated values
excess energy over the best structure of this formula in the dataset: 0.000 eV/f.u.
ΔE_f (raw): -0.100 eV/atom
calculated total energy: -5.28 eV per atom
crystal system: cubic
M_tot: 0.0 μB/f.u.

# 5
Computed, not measured: SrTaSb2 after structural relaxation at the PBE level of DFT.

Unit cell a=8.246 b=8.246 c=8.246 alpha=153.91 beta=152.60 gamma=38.19
Positions (direct):
Sr: 0.000 0.000 0.000
Ta: 0.246 0.746 0.500
Sb: 0.377 0.377 0.000
Sb: 0.675 0.175 0.500

Calculated values
excess energy over the best structure of this formula in the dataset: 0.450 eV/f.u.
ΔE_f (raw): -0.194 eV/atom
calculated total energy: -5.64 eV per atom
crystal system: orthorhombic
M_tot: 0.0 μB/f.u.

# 6
Computed, not measured: SrTaSb2 after structural relaxation at the PBE level of DFT.

Unit cell a=3.789 b=3.789 c=7.790 alpha=90.00 beta=90.00 gamma=90.00
Positions (direct):
Sr: 0.000 0.000 0.000
Ta: 0.500 0.500 0.345
Sb: 0.000 0.000 0.439
Sb: 0.500 0.500 0.721

Calculated values
excess energy over the best structure of this formula in the dataset: 1.346 eV/f.u.
ΔE_f (raw): 0.030 eV/atom
calculated total energy: -5.41 eV per atom
crystal system: tetragonal
M_tot: 0.0 μB/f.u.